## Pa2CuSi3Ni12 (PBE)

Data for a relaxed Pa2CuSi3Ni12 crystal.

Cell lengths 6.2585, 6.2585, 6.2585 Å; angles 83.28, 83.28, 83.28 degrees
Sites, in units of the cell vectors:
Pa: 0.6607 0.6607 0.6607
Pa: 0.3393 0.3393 0.3393
Cu: 0.0000 0.0000 0.0000
Si: 0.5000 0.0000 0.0000
Si: 0.0000 0.5000 0.0000
Si: 0.0000 0.0000 0.5000
Ni: 0.3862 0.3862 0.9045
Ni: 0.8068 0.8068 0.3026
Ni: 0.3026 0.8068 0.8068
Ni: 0.9045 0.3862 0.3862
Ni: 0.8068 0.3026 0.8068
Ni: 0.3862 0.9045 0.3862
Ni: 0.6138 0.6138 0.0955
Ni: 0.1932 0.1932 0.6974
Ni: 0.6974 0.1932 0.1932
Ni: 0.0955 0.6138 0.6138
Ni: 0.1932 0.6974 0.1932
Ni: 0.6138 0.0955 0.6138

## Properties
Space group: R-3m
Total magnetic moment: 0.00 μB/atom
Formation energy without anion corrections: -3.9 eV per formula unit
Calculated total energy: -6.2561 eV/atom